Entry 1:
CaSbPd PBEsol relaxed; magnetization = 0.0 Bohr magnetons per cell; E_form (uncorrected) = -0.956 eV/atom; total energy = -5.17 eV/atom; space group = Pnma
1.0
4.599 0.000 0.000
0.000 7.288 0.000
0.000 0.000 7.851
Pd Ca Sb
4 4 4
direct
0.750 0.186 0.081
0.750 0.686 0.419
0.250 0.314 0.581
0.250 0.814 0.919
0.750 0.494 0.798
0.750 0.994 0.702
0.250 0.506 0.202
0.250 0.006 0.298
0.250 0.197 0.907
0.250 0.697 0.593
0.750 0.303 0.407
0.750 0.803 0.093

Entry 2:
Ca2SbPd PBEsol relaxed; magnetization = 0.0 Bohr magnetons per cell; E_form (uncorrected) = -0.508 eV/atom; total energy = -4.20 eV/atom; space group = I-42d
1.0
-1.236 3.868 4.941
-5.043 4.090 -0.325
-3.974 -2.025 4.730
Sb Pd Ca
2 2 4
direct
0.000 0.000 0.000
0.750 0.500 0.500
0.500 0.000 0.000
0.250 0.500 0.500
0.875 0.535 0.965
0.590 0.035 0.535
0.375 0.465 0.035
0.160 0.965 0.465

Entry 3:
CaScPd2 PBEsol relaxed; magnetization = 0.0 Bohr magnetons per cell; energy relative to the elements = -67.37 kJ/mol of atoms; total energy = -5.86 eV/atom; space group = Fm-3m
1.0
-1.558 2.899 3.403
-4.397 1.744 -0.205
-3.286 -1.496 3.063
Ca Sc Pd
1 1 2
direct
0.000 0.000 0.000
0.500 0.500 0.500
0.250 0.250 0.250
0.750 0.750 0.750

Entry 4:
Ca2ScPd2 PBEsol relaxed; magnetization = 0.0 Bohr magnetons per cell; energy relative to the elements = -53.85 kJ/mol of atoms; total energy = -5.12 eV/atom; space group = P4/mbm
1.0
4.423 0.000 0.000
0.000 7.121 0.000
0.000 0.000 7.121
Pd Ca Sc
4 4 2
direct
0.000 0.365 0.865
0.000 0.635 0.135
0.000 0.135 0.365
0.000 0.865 0.635
0.500 0.332 0.168
0.500 0.832 0.332
0.500 0.668 0.832
0.500 0.168 0.668
0.000 0.000 0.000
0.000 0.500 0.500

Entry 5:
CaPdSe2 PBEsol relaxed; magnetization = 0.0 Bohr magnetons per cell; distance to the lowest polymorph of the same formula = 285 meV per atom; E_form (uncorrected) = -0.427 eV/atom; total energy = -4.38 eV/atom; space group = R-3m
1.0
-1.912 1.090 -3.113
-3.466 -1.423 -0.704
-5.160 6.009 2.940
Pd Se Ca
1 2 1
direct
0.500 0.500 0.500
0.885 0.885 0.344
0.115 0.115 0.656
0.000 0.000 0.000

Entry 6:
CaPd2Se2 PBEsol relaxed; magnetization = 0.0 Bohr magnetons per cell; E_form (uncorrected) = -0.733 eV/atom; total energy = -5.08 eV/atom; space group = I4/mmm
1.0
-1.471 -1.775 -4.290
-0.644 -3.286 4.345
-4.532 -0.431 1.732
Pd Se Ca
2 2 1
direct
0.338 0.676 0.662
0.662 0.324 0.338
0.250 0.500 0.250
0.750 0.500 0.750
0.000 0.000 0.000

Entry 7:
CaPdSe2 PBEsol relaxed; magnetization = 0.0 Bohr magnetons per cell; distance to the lowest polymorph of the same formula = 0 meV per atom; E_form (uncorrected) = -0.712 eV/atom; total energy = -4.66 eV/atom; space group = Fm-3m
1.0
4.781 0.000 0.000
2.390 4.140 0.000
2.390 1.380 3.903
Se Ca Pd
2 1 1
direct
0.250 0.250 0.250
0.750 0.750 0.750
0.000 0.000 0.000
0.500 0.500 0.500

Entry 8:
CaPd3Se PBEsol relaxed; magnetization = 0.0 Bohr magnetons per cell; E_form (uncorrected) = -0.432 eV/atom; total energy = -5.20 eV/atom; space group = Pm-3m
1.0
-2.331 1.207 3.880
-4.062 -0.598 -2.254
-0.086 -4.486 1.345
Pd Se Ca
3 1 1
direct
0.000 0.500 0.000
0.000 0.000 0.500
0.500 0.000 0.000
0.000 0.000 0.000
0.500 0.500 0.500

Entry 9:
Ca2Si2Pd PBEsol relaxed; magnetization = 0.0 Bohr magnetons per cell; E_form (uncorrected) = -0.657 eV/atom; total energy = -5.00 eV/atom; space group = P4/mbm
1.0
4.616 0.000 0.000
0.000 6.531 0.000
0.000 0.000 6.531
Ca Pd Si
4 2 4
direct
0.500 0.829 0.329
0.500 0.329 0.171
0.500 0.671 0.829
0.500 0.171 0.671
0.000 0.500 0.500
0.000 0.000 0.000
0.000 0.866 0.634
0.000 0.134 0.366
0.000 0.634 0.134
0.000 0.366 0.866

Entry 10:
CaSi2Pd2 PBEsol relaxed; magnetization = 0.0 Bohr magnetons per cell; E_form (uncorrected) = -0.847 eV/atom; total energy = -5.96 eV/atom; space group = I4/mmm
1.0
-2.916 -0.463 -2.931
-2.481 -1.873 2.765
0.775 5.525 1.308
Pd Ca Si
2 1 2
direct
0.750 0.250 0.500
0.250 0.750 0.500
0.000 0.000 0.000
0.621 0.621 0.242
0.379 0.379 0.758

Entry 11:
CaSi3Pd PBEsol relaxed; magnetization = 0.0 Bohr magnetons per cell; E_form (uncorrected) = 1.716 eV/atom; total energy = -3.35 eV/atom; space group = Pm-3m
1.0
4.979 0.000 0.000
0.000 4.979 0.000
0.000 0.000 4.979
Si Pd Ca
3 1 1
direct
0.000 0.000 0.500
0.000 0.500 0.000
0.500 0.000 0.000
0.500 0.500 0.500
0.000 0.000 0.000

Entry 12:
Ca2SiPd2 PBEsol relaxed; magnetization = 0.0 Bohr magnetons per cell; E_form (uncorrected) = -0.287 eV/atom; total energy = -4.67 eV/atom; space group = I4/mmm
1.0
3.614 0.000 0.000
0.000 3.614 0.000
-1.807 -1.807 8.452
Si Ca Pd
1 2 2
direct
0.000 0.000 0.000
0.390 0.390 0.780
0.610 0.610 0.220
0.750 0.250 0.500
0.250 0.750 0.500

Entry 13:
CaSmPd2 PBEsol relaxed; magnetization = 0.0 Bohr magnetons per cell; energy relative to the elements = -68.25 kJ/mol of atoms; total energy = -5.49 eV/atom; space group = Fm-3m
1.0
-1.004 -3.928 2.806
1.424 -4.493 -1.448
3.639 -2.321 2.385
Ca Pd Sm
1 2 1
direct
0.500 0.500 0.500
0.250 0.250 0.250
0.750 0.750 0.750
0.000 0.000 0.000

Entry 14:
CaSn3Pd PBEsol relaxed; magnetization = 0.0 Bohr magnetons per cell; energy relative to the elements = 105.04 kJ/mol of atoms; total energy = -3.09 eV/atom; space group = Pm-3m
1.0
-0.163 0.148 -5.491
-5.491 0.141 0.167
0.145 5.492 0.144
Sn Pd Ca
3 1 1
direct
0.000 0.500 0.000
0.000 0.000 0.500
0.500 0.000 0.000
0.500 0.500 0.500
0.000 0.000 0.000

Entry 15:
CaSnPd PBEsol relaxed; magnetization = 0.0 Bohr magnetons per cell; energy relative to the elements = -79.89 kJ/mol of atoms; total energy = -4.95 eV/atom; space group = Pnma
1.0
-1.905 -2.624 -3.248
5.882 0.884 -4.165
3.273 -6.412 3.261
Pd Ca Sn
4 4 4
direct
0.250 0.791 0.105
0.750 0.709 0.605
0.750 0.209 0.895
0.250 0.291 0.395
0.250 0.019 0.687
0.250 0.519 0.813
0.750 0.481 0.187
0.750 0.981 0.313
0.250 0.169 0.074
0.250 0.669 0.426
0.750 0.831 0.926
0.750 0.331 0.574

Entry 16:
SrCaPd2 PBEsol relaxed; magnetization = 0.0 Bohr magnetons per cell; energy relative to the elements = -49.69 kJ/mol of atoms; total energy = -4.49 eV/atom; space group = Fm-3m
1.0
-3.095 3.950 -0.412
-1.480 1.575 -4.547
-4.767 -0.680 -1.471
Sr Pd Ca
1 2 1
direct
0.500 0.500 0.500
0.750 0.750 0.750
0.250 0.250 0.250
0.000 0.000 0.000

Entry 17:
SrCa2Pd2 PBEsol relaxed; magnetization = 0.0 Bohr magnetons per cell; distance to the lowest polymorph of the same formula = 61 meV per atom; energy relative to the elements = -42.59 kJ/mol of atoms; total energy = -4.05 eV/atom; space group = I4/mmm
1.0
-3.090 2.507 -2.371
-3.424 -1.836 2.522
3.830 4.280 4.060
Pd Ca Sr
2 2 1
direct
0.395 0.395 0.790
0.605 0.605 0.210
0.750 0.250 0.500
0.250 0.750 0.500
0.000 0.000 0.000

Entry 18:
Sr2CaPd2 PBEsol relaxed; magnetization = 0.0 Bohr magnetons per cell; energy relative to the elements = -47.02 kJ/mol of atoms; total energy = -4.03 eV/atom; space group = P4/mbm
1.0
-4.316 0.500 -0.630
-1.170 -7.524 2.039
-0.847 2.173 7.530
Sr Ca Pd
4 2 4
direct
0.500 0.835 0.335
0.500 0.165 0.665
0.500 0.665 0.835
0.500 0.335 0.165
0.000 0.500 0.500
0.000 0.000 0.000
0.000 0.625 0.125
0.000 0.875 0.625
0.000 0.375 0.875
0.000 0.125 0.375

Entry 19:
Sr3CaPd PBEsol relaxed; magnetization = 0.0 Bohr magnetons per cell; distance to the lowest polymorph of the same formula = 0 meV per atom; energy relative to the elements = -25.49 kJ/mol of atoms; total energy = -2.99 eV/atom; space group = C2/m
1.0
7.227 0.000 0.002
0.000 8.292 0.000
-2.422 -4.146 6.820
Pd Ca Sr
2 2 6
direct
0.766 0.135 0.271
0.234 0.865 0.729
0.000 0.000 0.500
0.000 0.500 0.500
0.500 0.242 0.000
0.500 0.748 0.497
0.500 0.252 0.503
0.000 0.500 0.000
0.500 0.758 0.000
0.000 0.000 0.000

Entry 20:
Sr3CaPd PBEsol relaxed; magnetization = 2.9 Bohr magnetons per cell; distance to the lowest polymorph of the same formula = 1365 meV per atom; energy relative to the elements = 106.19 kJ/mol of atoms; total energy = -1.62 eV/atom; space group = Pm-3m
1.0
6.222 0.000 0.000
0.000 6.222 0.000
0.000 0.000 6.222
Pd Sr Ca
1 3 1
direct
0.500 0.500 0.500
0.500 0.000 0.000
0.000 0.000 0.500
0.000 0.500 0.000
0.000 0.000 0.000

Entry 21:
SrCa2Pd2 PBEsol relaxed; magnetization = 0.0 Bohr magnetons per cell; distance to the lowest polymorph of the same formula = 0 meV per atom; energy relative to the elements = -48.46 kJ/mol of atoms; total energy = -4.11 eV/atom; space group = P4/mbm
1.0
4.125 0.000 0.000
0.000 7.885 0.000
0.000 0.000 7.885
Pd Ca Sr
4 4 2
direct
0.000 0.375 0.875
0.000 0.125 0.375
0.000 0.875 0.625
0.000 0.625 0.125
0.500 0.657 0.843
0.500 0.157 0.657
0.500 0.843 0.343
0.500 0.343 0.157
0.000 0.500 0.500
0.000 0.000 0.000

Entry 22:
SrCa3Pd PBEsol relaxed; magnetization = 0.0 Bohr magnetons per cell; energy relative to the elements = -27.76 kJ/mol of atoms; total energy = -3.13 eV/atom; space group = Pm-3m
1.0
5.665 0.000 0.000
0.000 5.665 0.000
0.000 0.000 5.665
Ca Pd Sr
3 1 1
direct
0.500 0.000 0.000
0.000 0.500 0.000
0.000 0.000 0.500
0.000 0.000 0.000
0.500 0.500 0.500

Entry 23:
Sr3CaPd PBEsol relaxed; magnetization = 0.0 Bohr magnetons per cell; distance to the lowest polymorph of the same formula = 33 meV per atom; energy relative to the elements = -22.34 kJ/mol of atoms; total energy = -2.95 eV/atom; space group = Pm-3m
1.0
-4.749 -3.193 -1.576
2.886 -1.914 -4.821
2.085 -4.623 3.084
Sr Ca Pd
3 1 1
direct
0.000 0.000 0.500
0.000 0.500 0.000
0.500 0.000 0.000
0.500 0.500 0.500
0.000 0.000 0.000

Entry 24:
Ca2TePd2 PBEsol relaxed; magnetization = 0.0 Bohr magnetons per cell; E_form (uncorrected) = -0.796 eV/atom; total energy = -4.74 eV/atom; space group = I4/mmm
1.0
-2.272 2.253 -2.101
-2.881 -2.479 0.456
0.293 3.983 7.441
Ca Te Pd
2 1 2
direct
0.388 0.388 0.776
0.612 0.612 0.224
0.000 0.000 0.000
0.750 0.250 0.500
0.250 0.750 0.500

Entry 25:
Ca2TePd PBEsol relaxed; magnetization = 0.0 Bohr magnetons per cell; E_form (uncorrected) = -0.701 eV/atom; total energy = -4.14 eV/atom; space group = I-42d
1.0
6.727 0.074 -0.123
-2.391 6.288 0.123
2.391 3.029 5.512
Ca Te Pd
4 2 2
direct
0.028 0.403 0.125
0.528 0.125 0.847
0.972 0.847 0.625
0.472 0.625 0.403
0.000 0.000 0.000
0.500 0.250 0.250
0.000 0.500 0.500
0.500 0.750 0.750

Entry 26:
CaTe3Pd PBEsol relaxed; magnetization = 0.0 Bohr magnetons per cell; E_form (uncorrected) = 0.608 eV/atom; total energy = -3.13 eV/atom; space group = Pm-3m
1.0
-1.781 5.307 0.144
-1.599 -0.391 -5.352
-5.062 -1.744 1.639
Pd Te Ca
1 3 1
direct
0.500 0.500 0.500
0.500 0.000 0.000
0.000 0.000 0.500
0.000 0.500 0.000
0.000 0.000 0.000

Entry 27:
CaTiPd2 PBEsol relaxed; magnetization = 0.0 Bohr magnetons per cell; energy relative to the elements = -36.77 kJ/mol of atoms; total energy = -5.97 eV/atom; space group = Fm-3m
1.0
4.628 0.000 0.000
2.314 4.008 0.000
2.314 1.336 3.779
Pd Ca Ti
2 1 1
direct
0.750 0.750 0.750
0.250 0.250 0.250
0.000 0.000 0.000
0.500 0.500 0.500